<P>
Computed, not measured: a relaxed Dy3Te2As crystal at the GGA-PBE level of DFT.

Lattice parameters (Å, degrees): 7.381 7.493 7.370 80.54 59.95 70.85
Element x y z (fractional)
1 Dy 0.570 0.225 0.353
2 Dy 0.718 0.781 0.000
3 Dy 0.430 0.775 0.647
4 Dy 0.076 0.775 0.353
5 Dy 0.924 0.225 0.647
6 Dy 0.282 0.219 0.000
7 Te 0.000 0.000 0.000
8 Te 0.500 0.500 0.000
9 Te 0.840 0.500 0.320
10 Te 0.160 0.500 0.680
11 As 0.332 0.000 0.337
12 As 0.668 0.000 0.663

**Magnetic moment**: 0.00 μB/f.u.
**Symmetry**: C2/m
**V**: 333.27 Å³ per cell

<Q>
Computed, not measured: a relaxed Dy3Te2As crystal at the GGA-PBE level of DFT.

Lattice parameters (Å, degrees): 4.223 6.016 7.516 113.59 106.32 90.00
Element x y z (fractional)
1 Dy 0.856 0.356 0.212
2 Dy 0.144 0.644 0.788
3 Dy 0.500 0.000 0.500
4 Te 0.826 0.826 0.152
5 Te 0.174 0.174 0.848
6 As 0.500 0.500 0.500

**Magnetic moment**: 0.00 μB/f.u.
**Symmetry**: Immm
**V**: 166.55 Å³ per cell

Stability ranking, top entry: <P>; the second entry is 0.013 eV/atom less favorable.

<P>
Computed, not measured: a relaxed DyThAs2 crystal at the GGA-PBE level of DFT.

Lattice parameters (Å, degrees): 5.938 5.938 7.253 114.16 114.16 90.00
Element x y z (fractional)
1 Dy 0.500 0.500 0.000
2 Dy 0.250 0.750 0.500
3 Th 0.750 0.250 0.500
4 Th 0.000 0.000 0.000
5 As 0.747 0.747 0.495
6 As 0.497 0.997 0.995
7 As 0.253 0.253 0.505
8 As 0.003 0.503 0.005

**Magnetic moment**: 0.00 μB/f.u.
**Symmetry**: I4_1/amd
**V**: 208.54 Å³ per cell

<Q>
Computed, not measured: a relaxed DyThAs2 crystal at the GGA-PBE level of DFT.

Lattice parameters (Å, degrees): 4.143 4.143 7.536 74.05 74.05 60.00
Element x y z (fractional)
1 Dy 0.496 0.496 0.512
2 Th 0.670 0.670 0.991
3 As 0.085 0.085 0.745
4 As 0.249 0.249 0.252

**Magnetic moment**: 0.00 μB/f.u.
**Symmetry**: R3m
**V**: 106.22 Å³ per cell

Stability ranking, top entry: <P>; the second entry is 0.155 eV/atom less favorable.

<P>
Computed, not measured: a relaxed DyUAs2 crystal at the GGA-PBE level of DFT.

Lattice parameters (Å, degrees): 4.068 4.068 7.190 73.57 73.57 60.00
Site moments in Bohr magnetons follow the coordinates.
Element x y z (fractional)
1 As 0.251 0.251 0.248  -0.05
2 As 0.749 0.749 0.752  -0.05
3 U 0.000 0.000 0.000  2.26
4 Dy 0.500 0.500 0.500  0.01

**Magnetic moment**: 2.45 μB/f.u.
**Symmetry**: R-3m
**V**: 97.40 Å³ per cell

<Q>
Computed, not measured: a relaxed DyUAs2 crystal at the GGA-PBE level of DFT.

Lattice parameters (Å, degrees): 4.031 4.031 7.451 74.31 74.31 60.00
Site moments in Bohr magnetons follow the coordinates.
Element x y z (fractional)
1 Dy 0.497 0.497 0.509  0.07
2 U 0.669 0.669 0.992  2.34
3 As 0.082 0.082 0.754  -0.05
4 As 0.252 0.252 0.244  -0.06

**Magnetic moment**: 2.65 μB/f.u.
**Symmetry**: R3m
**V**: 99.59 Å³ per cell

<R>
Computed, not measured: a relaxed DyUAs2 crystal at the GGA-PBE level of DFT.

Lattice parameters (Å, degrees): 5.792 5.792 7.096 114.09 114.09 90.00
Site moments in Bohr magnetons follow the coordinates.
Element x y z (fractional)
1 Dy 0.750 0.250 0.500  0.03
2 Dy 0.000 0.000 0.000  0.03
3 U 0.500 0.500 0.000  2.22
4 U 0.250 0.750 0.500  2.22
5 As 0.748 0.748 0.496  -0.05
6 As 0.498 0.998 0.996  -0.05
7 As 0.252 0.252 0.504  -0.05
8 As 0.002 0.502 0.004  -0.05

**Magnetic moment**: 2.45 μB/f.u.
**Symmetry**: I4_1/amd
**V**: 194.40 Å³ per cell

Stability ranking, top entry: <P>; the second entry is 0.020 eV/atom less favorable.

<P>
Computed, not measured: a relaxed DyZrAs2 crystal at the GGA-PBE level of DFT.

Lattice parameters (Å, degrees): 3.912 3.912 7.232 74.31 74.31 60.00
Site moments in Bohr magnetons follow the coordinates.
Element x y z (fractional)
1 Dy 0.671 0.671 0.988  0.01
2 Zr 0.497 0.497 0.508  0.06
3 As 0.086 0.086 0.741  0.00
4 As 0.246 0.246 0.263  0.00

**Magnetic moment**: 0.12 μB/f.u.
**Symmetry**: R3m
**V**: 91.04 Å³ per cell

<Q>
Computed, not measured: a relaxed DyZrAs2 crystal at the GGA-PBE level of DFT.

Lattice parameters (Å, degrees): 3.963 3.963 6.958 90.04 106.51 119.97
Element x y z (fractional)
1 Dy 0.000 0.500 0.500
2 Zr 0.000 0.000 0.000
3 As 0.508 0.254 0.763
4 As 0.492 0.746 0.237

**Magnetic moment**: 0.00 μB/f.u.
**Symmetry**: R-3m
**V**: 89.42 Å³ per cell

Stability ranking, top entry: <Q>; the second entry is 0.093 eV/atom less favorable.

<P>
Computed, not measured: a relaxed Er2GeAs crystal at the GGA-PBE level of DFT.

Lattice parameters (Å, degrees): 4.006 4.167 11.353 100.57 90.00 90.00
Element x y z (fractional)
1 Er 0.750 0.685 0.370
2 Er 0.250 0.315 0.630
3 Er 0.750 0.936 0.871
4 Er 0.250 0.064 0.129
5 Ge 0.250 0.457 0.913
6 Ge 0.750 0.543 0.087
7 As 0.250 0.188 0.376
8 As 0.750 0.812 0.624

**Magnetic moment**: 0.00 μB/f.u.
**Symmetry**: Cmcm
**V**: 186.28 Å³ per cell

<Q>
Computed, not measured: a relaxed Er2GeAs crystal at the GGA-PBE level of DFT.

Lattice parameters (Å, degrees): 3.981 3.981 7.431 74.46 74.46 60.00
Element x y z (fractional)
1 As 0.000 0.000 0.000
2 Ge 0.500 0.500 0.500
3 Er 0.747 0.747 0.760
4 Er 0.253 0.253 0.240

**Magnetic moment**: 0.00 μB/f.u.
**Symmetry**: R-3m
**V**: 97.01 Å³ per cell

Stability ranking, top entry: <P>; the second entry is 0.088 eV/atom less favorable.

<P>
Computed, not measured: a relaxed Er2AsH crystal at the GGA-PBE level of DFT.

Lattice parameters (Å, degrees): 3.901 3.901 6.288 90.00 90.01 60.00
Site moments in Bohr magnetons follow the coordinates.
Element x y z (fractional)
1 Er 0.176 0.621 0.507  0.22
2 Er 0.509 0.954 0.046  0.11
3 As 0.843 0.288 0.773  0.01
4 H 0.176 0.621 0.153  0.00

**Magnetic moment**: 0.50 μB/f.u.
**Symmetry**: P3m1
**V**: 82.86 Å³ per cell

<Q>
Computed, not measured: a relaxed Er2AsH crystal at the GGA-PBE level of DFT.

Lattice parameters (Å, degrees): 3.844 3.844 7.306 74.75 74.75 60.00
Element x y z (fractional)
1 Er 0.099 0.099 0.704
2 Er 0.269 0.269 0.192
3 As 0.680 0.680 0.960
4 H 0.452 0.452 0.645

**Magnetic moment**: 0.00 μB/f.u.
**Symmetry**: R3m
**V**: 89.07 Å³ per cell

Stability ranking, top entry: <P>; the second entry is 0.203 eV/atom less favorable.

<P>
Computed, not measured: a relaxed LiEr2As crystal at the GGA-PBE level of DFT.

Lattice parameters (Å, degrees): 3.786 3.786 10.208 79.31 79.31 60.00
Element x y z (fractional)
1 As 0.500 0.500 0.500
2 Li 0.000 0.000 0.000
3 Er 0.110 0.110 0.671
4 Er 0.890 0.890 0.329

**Magnetic moment**: 0.00 μB/f.u.
**Symmetry**: R-3m
**V**: 123.77 Å³ per cell

<Q>
Computed, not measured: a relaxed LiEr2As crystal at the GGA-PBE level of DFT.

Lattice parameters (Å, degrees): 3.857 4.752 4.752 90.00 90.00 90.00
Element x y z (fractional)
1 As 0.500 0.500 0.500
2 Li 0.500 0.000 0.000
3 Er 0.000 0.000 0.500
4 Er 0.000 0.500 0.000

**Magnetic moment**: 0.00 μB/f.u.
**Symmetry**: P4/mmm
**V**: 87.09 Å³ per cell

Stability ranking, top entry: <Q>; the second entry is 0.154 eV/atom less favorable.

<P>
Computed, not measured: a relaxed LiErAs crystal at the GGA-PBE level of DFT.

Lattice parameters (Å, degrees): 4.564 4.564 4.564 60.00 60.00 60.00
Element x y z (fractional)
1 As 0.250 0.250 0.250
2 Li 0.000 0.000 0.000
3 Er 0.500 0.500 0.500

**Magnetic moment**: 0.00 μB/f.u.
**Symmetry**: F-43m
**V**: 67.24 Å³ per cell

<Q>
Computed, not measured: a relaxed LiErAs crystal at the GGA-PBE level of DFT.

Lattice parameters (Å, degrees): 3.982 3.982 4.998 90.00 90.00 90.00
Site moments in Bohr magnetons follow the coordinates.
Element x y z (fractional)
1 Er 0.000 0.000 0.000  0.19
2 Li 0.500 0.500 0.500  0.02
3 As 0.500 0.500 0.000  0.00

**Magnetic moment**: 0.57 μB/f.u.
**Symmetry**: P4/mmm
**V**: 79.25 Å³ per cell

<R>
Computed, not measured: a relaxed LiErAs crystal at the GGA-PBE level of DFT.

Lattice parameters (Å, degrees): 3.895 3.895 4.914 113.35 113.35 90.00
Site moments in Bohr magnetons follow the coordinates.
Element x y z (fractional)
1 As 0.633 0.633 0.265  -0.01
2 Li 0.939 0.939 0.877  0.01
3 Er 0.279 0.279 0.557  0.12

**Magnetic moment**: 0.21 μB/f.u.
**Symmetry**: I4mm
**V**: 61.74 Å³ per cell

Stability ranking, top entry: <P>; the second entry is 0.106 eV/atom less favorable.

<P>
Computed, not measured: a relaxed ErMoAs2 crystal at the GGA-PBE level of DFT.

Lattice parameters (Å, degrees): 3.031 3.031 10.109 81.38 81.38 60.00
Element x y z (fractional)
1 Mo 0.000 0.000 0.000
2 As 0.086 0.086 0.742
3 As 0.914 0.914 0.258
4 Er 0.500 0.500 0.500

**Magnetic moment**: 0.00 μB/f.u.
**Symmetry**: R-3m
**V**: 79.24 Å³ per cell

<Q>
Computed, not measured: a relaxed ErMoAs2 crystal at the GGA-PBE level of DFT.

Lattice parameters (Å, degrees): 3.235 3.235 6.934 90.00 90.00 90.00
Element x y z (fractional)
1 Mo 0.500 0.500 0.000
2 As 0.000 0.000 0.787
3 As 0.000 0.000 0.213
4 Er 0.500 0.500 0.500

**Magnetic moment**: 0.00 μB/f.u.
**Symmetry**: P4/mmm
**V**: 72.57 Å³ per cell

Stability ranking, top entry: <Q>; the second entry is 0.761 eV/atom less favorable.

<P>
Computed, not measured: a relaxed NdErAs2 crystal at the GGA-PBE level of DFT.

Lattice parameters (Å, degrees): 4.144 4.144 7.500 73.96 73.96 60.00
Element x y z (fractional)
1 Nd 0.669 0.669 0.992
2 Er 0.498 0.498 0.507
3 As 0.086 0.086 0.743
4 As 0.247 0.247 0.258

**Magnetic moment**: 0.00 μB/f.u.
**Symmetry**: R3m
**V**: 105.70 Å³ per cell

<Q>
Computed, not measured: a relaxed NdErAs2 crystal at the GGA-PBE level of DFT.

Lattice parameters (Å, degrees): 4.183 4.183 7.227 89.98 106.84 120.01
Element x y z (fractional)
1 Nd 0.000 0.500 0.500
2 Er 0.000 0.000 0.000
3 As 0.508 0.254 0.762
4 As 0.492 0.746 0.238

**Magnetic moment**: 0.00 μB/f.u.
**Symmetry**: R-3m
**V**: 103.20 Å³ per cell

Stability ranking, top entry: <Q>; the second entry is 0.166 eV/atom less favorable.

<P>
Computed, not measured: a relaxed Er2Ni12As7 crystal at the GGA-PBE level of DFT.

Lattice parameters (Å, degrees): 9.355 9.355 3.830 90.00 90.00 120.00
Element x y z (fractional)
1 Er 0.667 0.333 0.500
2 Er 0.333 0.667 0.000
3 Ni 0.439 0.057 0.000
4 Ni 0.618 0.561 0.000
5 Ni 0.943 0.382 0.000
6 Ni 0.152 0.281 0.000
7 Ni 0.129 0.848 0.000
8 Ni 0.719 0.871 0.000
9 Ni 0.377 0.426 0.500
10 Ni 0.049 0.623 0.500
11 Ni 0.574 0.951 0.500
12 Ni 0.210 0.095 0.500
13 Ni 0.885 0.790 0.500
14 Ni 0.905 0.115 0.500
15 As 0.000 0.000 0.000
16 As 0.404 0.286 0.000
17 As 0.882 0.596 0.000
18 As 0.714 0.118 0.000
19 As 0.110 0.408 0.500
20 As 0.298 0.890 0.500
21 As 0.592 0.702 0.500

**Magnetic moment**: 0.00 μB/f.u.
**Symmetry**: P-6
**V**: 290.27 Å³ per cell

<Q>
Computed, not measured: a relaxed Er2Ni12As7 crystal at the GGA-PBE level of DFT.

Lattice parameters (Å, degrees): 3.819 9.402 9.402 120.00 90.00 90.00
Element x y z (fractional)
1 Er 0.248 0.333 0.667
2 Er 0.752 0.667 0.333
3 Ni 0.251 0.623 0.057
4 Ni 0.251 0.434 0.377
5 Ni 0.251 0.943 0.566
6 Ni 0.749 0.377 0.943
7 Ni 0.749 0.566 0.623
8 Ni 0.749 0.057 0.434
9 Ni 0.233 0.118 0.258
10 Ni 0.233 0.140 0.882
11 Ni 0.233 0.742 0.860
12 Ni 0.767 0.882 0.742
13 Ni 0.767 0.860 0.118
14 Ni 0.767 0.258 0.140
15 As 0.500 0.000 0.000
16 As 0.254 0.886 0.294
17 As 0.254 0.408 0.114
18 As 0.254 0.706 0.592
19 As 0.746 0.114 0.706
20 As 0.746 0.592 0.886
21 As 0.746 0.294 0.408

**Magnetic moment**: 0.00 μB/f.u.
**Symmetry**: P-3
**V**: 292.34 Å³ per cell

Stability ranking, top entry: <P>; the second entry is 0.008 eV/atom less favorable.

<P>
Computed, not measured: a relaxed ErNi3As2 crystal at the GGA-PBE level of DFT.

Lattice parameters (Å, degrees): 3.842 7.985 9.384 106.04 90.00 103.92
Element x y z (fractional)
1 Er 0.155 0.310 0.701
2 Er 0.845 0.690 0.299
3 Er 0.000 0.000 0.000
4 Ni 0.045 0.089 0.342
5 Ni 0.955 0.911 0.658
6 Ni 0.216 0.431 0.388
7 Ni 0.784 0.569 0.612
8 Ni 0.624 0.248 0.202
9 Ni 0.376 0.752 0.798
10 Ni 0.500 0.000 0.500
11 Ni 0.324 0.649 0.032
12 Ni 0.676 0.351 0.968
13 As 0.199 0.399 0.130
14 As 0.801 0.601 0.870
15 As 0.465 0.930 0.216
16 As 0.535 0.070 0.784
17 As 0.359 0.718 0.543
18 As 0.641 0.282 0.457

**Magnetic moment**: 0.00 μB/f.u.
**Symmetry**: C2/m
**V**: 267.87 Å³ per cell

<Q>
Computed, not measured: a relaxed ErNi3As2 crystal at the GGA-PBE level of DFT.

Lattice parameters (Å, degrees): 3.891 7.660 7.010 114.82 90.00 104.71
Element x y z (fractional)
1 Er 0.851 0.702 0.931
2 Er 0.149 0.298 0.069
3 Ni 0.313 0.626 0.559
4 Ni 0.955 0.910 0.615
5 Ni 0.600 0.200 0.680
6 Ni 0.400 0.800 0.320
7 Ni 0.045 0.090 0.385
8 Ni 0.687 0.374 0.441
9 As 0.480 0.960 0.806
10 As 0.520 0.040 0.194
11 As 0.804 0.609 0.302
12 As 0.196 0.391 0.698

**Magnetic moment**: 0.00 μB/f.u.
**Symmetry**: C2/m
**V**: 182.06 Å³ per cell

Stability ranking, top entry: <P>; the second entry is 0.080 eV/atom less favorable.